A plane-wave DFT calculation with PBE was carried out for a relaxed La2OsAu crystal.

a b c (Å): 4.092 4.555 5.867
angles (deg): 90.00 110.41 90.00
Fractional positions:
La: 0.000 0.000 0.000
La: 0.281 0.500 0.563
Os: 0.548 0.500 0.095
Au: 0.717 0.000 0.435

Calculated values
As for the crystal system: monoclinic. The density of states at the Fermi level is 0.654 states/eV per atom. The calculation puts the raw total energy at -25.736 eV per cell. Its space-group type is Pm.